! CaZrFe, relaxed, DFT PBE-GGA; values from VASP
! * formation energy from the elements: 180.4 meV/atom
! * excess energy over the best structure of this formula in the dataset: 0.0000 eV/atom
! * density of states at the Fermi level: 1.3 states/eV/cell
&SYSTEM
  ibrav = 0, nat = 3, ntyp = 3
/
ATOMIC_SPECIES
Ca 40.08 Ca.upf
Fe 55.84 Fe.upf
Zr 91.22 Zr.upf
CELL_PARAMETERS angstrom
-0.501 1.983 6.327
1.924 -0.189 6.363
2.165 2.420 0.251
ATOMIC_POSITIONS angstrom
Ca 1.443 1.810 12.365
Fe 1.933 2.224 4.136
Zr 1.636 1.973 9.130



! GdTmGaRh, relaxed, DFT PBE-GGA; values from VASP
! * formation energy from the elements: -679.6 meV/atom
! * density of states at the Fermi level: 2.4 states/eV/cell
&SYSTEM
  ibrav = 0, nat = 4, ntyp = 4
/
ATOMIC_SPECIES
Gd 157.25 Gd.upf
Tm 168.93 Tm.upf
Rh 102.91 Rh.upf
Ga 69.72 Ga.upf
CELL_PARAMETERS angstrom
4.955 0.000 0.000
2.477 4.291 0.000
2.477 1.430 4.045
ATOMIC_POSITIONS angstrom
Gd 0.000 0.000 0.000
Tm 4.955 2.861 2.023
Rh 7.432 4.291 3.034
Ga 2.477 1.430 1.011



We obtain DFT total energy values of -6.16; -7.91 eV/atom for the records listed above, in that order.